Below is a geometry-optimized Ca5La structure, with properties calculated at the PBE level.

Cell and atoms, written as extended XYZ:
```
6
Lattice="3.8239 0.0000 0.0000 0.0000 3.8239 0.0000 0.0000 0.0000 16.8328" Properties=species:S:1:pos:R:3 pbc="T T T"
Ca 0.0000 0.0000 0.0000
Ca 0.0000 0.0000 5.6745
Ca 0.0000 0.0000 11.1583
Ca 1.9119 1.9119 2.8158
Ca 1.9119 1.9119 14.0170
La 1.9119 1.9119 8.4164
```

## Properties
Crystal system: tetragonal

=====

Below is a geometry-optimized Tc3AuSe structure, with properties calculated at the PBE level.

Cell and atoms, written as extended XYZ:
```
5
Lattice="5.0720 0.0000 0.0000 0.0000 5.0720 0.0000 0.0000 0.0000 5.0720" Properties=species:S:1:pos:R:3 pbc="T T T"
Tc 0.0000 0.0000 2.5360
Tc 0.0000 2.5360 0.0000
Tc 2.5360 0.0000 0.0000
Au 0.0000 0.0000 0.0000
Se 2.5360 2.5360 2.5360
```

## Properties
Energy relative to the elements, uncorrected, meV per atom: 2189
Crystal system: cubic

=====

Below is a geometry-optimized CrMoW4 structure, with properties calculated at the PBE level.

Cell and atoms, written as extended XYZ:
```
6
Lattice="0.0000 3.7004 3.7004 3.7004 0.0000 3.7004 3.7004 3.7004 0.0000" Properties=species:S:1:pos:R:3 pbc="T T T"
Cr 0.0000 0.0000 0.0000
Mo 5.5506 5.5506 5.5506
W 2.7773 2.7773 2.7773
W 4.6235 4.6235 2.7773
W 4.6235 2.7773 4.6235
W 2.7773 4.6235 4.6235
```

## Properties
Crystal system: cubic

=====

Below is a geometry-optimized Sm12YHo7 structure, with properties calculated at the PBE level.

Cell and atoms, written as extended XYZ:
```
20
Lattice="6.4507 3.7243 4.6602 -6.4507 3.7243 4.6602 0.0000 -7.4486 4.6602" Properties=species:S:1:pos:R:3 pbc="T T T"
Sm -0.4147 -2.2268 2.1524
Sm -1.7212 1.4725 2.1524
Sm -3.6396 1.1219 5.8363
Sm -2.7913 -2.5910 8.1442
Sm 0.8482 -3.7129 5.8363
Sm 2.1358 0.7543 2.1524
Sm -2.1358 -0.7543 11.8281
Sm -0.8482 3.7129 8.1442
Sm 2.7914 2.5910 5.8363
Sm 3.6396 -1.1219 8.1442
Sm 1.7212 -1.4725 11.8281
Sm 0.4147 2.2268 11.8281
Y 0.0000 0.0000 6.9903
Ho 0.0000 0.0000 0.0000
Ho -1.7190 -1.4606 4.8681
Ho -0.4054 2.2190 4.8681
Ho 2.1244 -0.7584 4.8681
Ho -2.1244 0.7583 9.1124
Ho 0.4055 -2.2190 9.1124
Ho 1.7189 1.4606 9.1124
```

## Properties
Crystal system: trigonal

=====

Below is a geometry-optimized Cs2CeCu3F12 structure, with properties calculated at the PBE level.

Cell and atoms, written as extended XYZ:
```
18
Lattice="3.6645 2.1157 6.9074 -3.6645 2.1157 6.9074 0.0000 -4.2314 6.9074" Properties=species:S:1:pos:R:3 pbc="T T T"
Cs 0.0000 0.0000 2.1355
Cs 0.0000 0.0000 18.5867
Ce 0.0000 0.0000 10.3611
Cu -1.8323 -1.0579 6.9074
Cu -1.8323 1.0579 13.8148
Cu 0.0000 2.1157 6.9074
F -1.6132 -0.9314 9.2338
F 0.0000 -1.6602 6.7739
F -1.4377 0.8301 6.7739
F 0.0000 -1.8627 11.4884
F -1.6132 0.9314 11.4884
F -1.4377 -0.8301 13.9483
F 1.4377 0.8301 6.7739
F 1.6132 -0.9314 9.2338
F 0.0000 1.8627 9.2338
F 1.4377 -0.8301 13.9483
F 0.0000 1.6602 13.9483
F 1.6132 0.9314 11.4884
```

## Properties
Energy relative to the elements, uncorrected, meV per atom: -2458
Crystal system: trigonal

=====

Below is a geometry-optimized AcPmNdMg structure, with properties calculated at the PBE level.

Cell and atoms, written as extended XYZ:
```
4
Lattice="3.8745 0.0000 0.0000 0.0000 3.8745 0.0000 0.0000 0.0000 9.1193" Properties=species:S:1:pos:R:3 pbc="T T T"
Ac 0.0000 0.0000 0.0000
Pm 1.9372 1.9372 2.6060
Nd 1.9372 1.9372 6.4885
Mg 0.0000 0.0000 4.5290
```

## Properties
Crystal system: tetragonal

=====

Below is a geometry-optimized K2EuF4 structure, with properties calculated at the PBE level.

Cell and atoms, written as extended XYZ:
```
7
Lattice="-2.3659 2.3659 6.9719 2.3659 -2.3659 6.9719 2.3659 2.3659 -6.9719" Properties=species:S:1:pos:R:3 pbc="T T T"
K 0.0000 0.0000 2.0911
K 0.0000 0.0000 11.8526
Eu 0.0000 0.0000 6.9719
F 2.3659 0.0000 0.0000
F 0.0000 0.0000 4.5952
F 0.0000 2.3659 0.0000
F 0.0000 0.0000 9.3486
```

## Properties
Energy relative to the elements, uncorrected, meV per atom: -3098
Crystal system: tetragonal

=====

Below is a geometry-optimized KNdZnBr6 structure, with properties calculated at the PBE level.

Cell and atoms, written as extended XYZ:
```
18
Lattice="7.2320 0.0000 0.0000 -3.6160 6.2631 0.0000 0.0000 0.0000 14.5548" Properties=species:S:1:pos:R:3 pbc="T T T"
K 0.0000 0.0000 0.0000
K 0.0000 0.0000 7.2774
Nd 0.0000 4.1754 3.6387
Nd 3.6160 2.0877 10.9161
Zn 0.0000 4.1754 10.9161
Zn 3.6160 2.0877 3.6387
Br -1.1979 2.3911 9.3266
Br -2.1442 4.0301 12.5056
Br 1.1979 2.3911 12.5056
Br -0.9463 6.1049 9.3266
Br 2.6697 0.1582 2.0492
Br 1.4718 2.2330 5.2282
Br 2.1442 4.0301 9.3266
Br 0.9463 6.1049 12.5056
Br 4.5623 0.1582 5.2282
Br 2.4181 3.8720 2.0492
Br 5.7602 2.2330 2.0492
Br 4.8139 3.8720 5.2282
```

## Properties
Energy relative to the elements, uncorrected, meV per atom: -1480
Crystal system: trigonal

=====

Below is a geometry-optimized Y4OsW structure, with properties calculated at the PBE level.

Cell and atoms, written as extended XYZ:
```
6
Lattice="0.0000 4.1303 4.1303 4.1303 0.0000 4.1303 4.1303 4.1303 0.0000" Properties=species:S:1:pos:R:3 pbc="T T T"
Y 1.0312 1.0312 1.0312
Y 3.0991 3.0991 1.0312
Y 3.0991 1.0312 3.0991
Y 1.0312 3.0991 3.0991
Os 6.1955 6.1955 6.1955
W 4.1303 4.1303 4.1303
```

## Properties
Crystal system: cubic

=====

Below is a geometry-optimized Tm2Ga4Ni5 structure, with properties calculated at the PBE level.

Cell and atoms, written as extended XYZ:
```
11
Lattice="0.0000 4.4598 7.4071 2.6348 0.0000 7.4071 2.6348 4.4598 0.0000" Properties=species:S:1:pos:R:3 pbc="T T T"
Tm 2.6348 4.4598 1.8894
Tm 2.6348 4.4598 12.9249
Ga 2.6348 3.0414 5.4924
Ga 2.6348 3.0414 9.3219
Ga 2.6348 5.8782 5.4924
Ga 2.6348 5.8782 9.3219
Ni 1.3174 2.2299 0.0000
Ni 1.3174 2.2299 3.7036
Ni 1.3174 2.2299 7.4071
Ni 2.6348 4.4598 7.4071
Ni 3.9521 6.6897 11.1107
```

## Properties
Crystal system: orthorhombic

=====

Below is a geometry-optimized TaAl2Se structure, with properties calculated at the PBE level.

Cell and atoms, written as extended XYZ:
```
4
Lattice="0.0000 3.2716 3.2716 3.2716 0.0000 3.2716 3.2716 3.2716 0.0000" Properties=species:S:1:pos:R:3 pbc="T T T"
Ta 0.0000 0.0000 0.0000
Al 1.6358 1.6358 1.6358
Al 3.2716 3.2716 3.2716
Se 4.9074 4.9074 4.9074
```

## Properties
Energy relative to the elements, uncorrected, meV per atom: 330
Crystal system: cubic

=====

Below is a geometry-optimized BeCu2Ag structure, with properties calculated at the PBE level.

Cell and atoms, written as extended XYZ:
```
8
Lattice="-1.7360 1.7360 9.0012 1.7360 -1.7360 9.0012 1.7360 1.7360 -9.0012" Properties=species:S:1:pos:R:3 pbc="T T T"
Be 0.0000 0.0000 0.0000
Be 0.0000 1.7360 4.5006
Cu 2.6040 0.8226 -2.2503
Cu 0.8226 0.8680 2.2503
Cu -0.8680 0.9134 6.7509
Cu 0.9134 0.8680 11.2515
Ag 1.7360 0.0000 4.5006
Ag 0.0000 0.0000 9.0012
```

## Properties
Crystal system: tetragonal

=====

Below is a geometry-optimized Sc2CrHg2 structure, with properties calculated at the PBE level.

Cell and atoms, written as extended XYZ:
```
10
Lattice="7.0257 0.0000 0.0000 0.0000 7.0257 0.0000 0.0000 0.0000 4.2314" Properties=species:S:1:pos:R:3 pbc="T T T"
Sc 1.1220 2.3909 0.0000
Sc 2.3909 5.9037 0.0000
Sc 4.6348 1.1220 0.0000
Sc 5.9037 4.6348 0.0000
Cr 0.0000 0.0000 0.0000
Cr 3.5128 3.5128 0.0000
Hg 1.0523 4.5651 2.1157
Hg 2.4606 1.0523 2.1157
Hg 4.5651 5.9734 2.1157
Hg 5.9734 2.4606 2.1157
```

## Properties
Crystal system: tetragonal

=====

no.,VASP energy (eV/cell)
1,-14.709
2,-26.916
3,-69.434
4,-89.451
5,-86.631
6,-15.366
7,-41.642
8,-60.990
9,-42.417
10,-55.456
11,-21.504
12,-26.679
13,-42.684